Na3BeCu: relaxed, GGA-PBE.

Cell: 5.328 5.328 5.328 Å, 90.00 90.00 90.00°
Fractional positions:
Na  0.000  0.000  0.500
Na  0.000  0.500  0.000
Na  0.500  0.000  0.000
Be  0.500  0.500  0.500
Cu  0.000  0.000  0.000

## Properties
Calculated total energy, eV/atom: -1.558
Spin magnetization, μB per cell: 0.0
Calculated formation energy, eV per atom: 0.7981
Energy relative to the lowest polymorph listed for this composition, meV/atom: 0